A plane-wave DFT calculation with PBE was carried out for an optimized crystal structure of PuAlCo2H8.

Cell and atoms, written as extended XYZ:
```
12
Lattice="-1.612 -3.123 -2.321 3.877 1.436 -0.804 2.282 -4.020 3.823" Properties=species:S:1:pos:R:3 pbc="T T T"
Pu 0.000 0.000 0.000
Al 1.141 -2.010 1.911
Co 1.032 -3.038 -0.451
Co 3.515 -2.668 1.148
H 4.126 -3.746 2.173
H 1.584 -1.700 0.161
H 3.370 -1.870 -1.083
H 0.421 -1.961 -1.475
H 1.177 -3.837 1.781
H 2.962 -4.007 0.536
H 1.253 -5.317 0.178
H 3.293 -0.390 0.519
```

## Properties
- SG = P-3, No. 147
- total DFT energy (no corrections) (eV per atom) = -4.973
- mass density (g cm⁻³) = 7.15